Material: Ag2PbSe
Method: DFT, GGA-PBE
State: optimized geometry

The structure belongs to space group P2/m (No. 10); the cell edges are 3.920, 4.566 and 5.479 Å and the angles 90.00°, 96.00° and 90.00°. The inequivalent atoms are Ag at (0.106, 0.000, 0.249), Pb at (0.500, 0.500, 0.000) and Se at (0.000, 0.500, 0.500).

The calculation puts the uncorrected formation energy at 1 meV/atom.